A plane-wave DFT calculation with GGA-PBE was carried out for a relaxed CuNiI6 crystal.

Structure (extended XYZ):
```
8
Lattice="5.2704 -5.4286 0.0000 5.2704 5.4286 0.0000 -3.8031 0.0000 6.2847" Properties=species:S:1:pos:R:3 pbc="T T T"
Cu 0.0000 0.0000 0.0000
Ni -1.9015 0.0000 3.1423
I 2.1976 3.6725 4.4953
I 4.5402 3.6725 1.7893
I 0.4170 0.0000 5.3491
I 6.3208 0.0000 0.9355
I 2.1976 -3.6725 4.4953
I 4.5402 -3.6725 1.7893
```

Calculated values
* theoretical density: 4.08 Mg/m³
* excess energy over the best structure of this formula in the dataset: 0.0 kJ per mole of atoms
* Fermi-level density of states: 1.6 states/eV/cell

=====

A plane-wave DFT calculation with GGA-PBE was carried out for a relaxed Cu2NiI crystal.

Structure (extended XYZ):
```
4
Lattice="0.0000 3.1749 3.1749 3.1749 0.0000 3.1749 3.1749 3.1749 0.0000" Properties=species:S:1:pos:R:3 pbc="T T T"
Cu 1.5875 1.5875 1.5875
Cu 4.7624 4.7624 4.7624
Ni 0.0000 0.0000 0.0000
I 3.1749 3.1749 3.1749
```

Calculated values
* theoretical density: 8.11 Mg/m³
* excess energy over the best structure of this formula in the dataset: 8.2 kJ per mole of atoms
* Fermi-level density of states: 4.5 states/eV/cell

=====

A plane-wave DFT calculation with GGA-PBE was carried out for a relaxed CuNiI5 crystal.

Structure (extended XYZ):
```
14
Lattice="5.2181 -4.8541 0.0000 5.2181 4.8541 0.0000 -4.4583 0.0000 9.5183" Properties=species:S:1:pos:R:3 pbc="T T T"
Cu 1.8744 4.5014 7.1387
Cu 4.1035 -4.5014 2.3796
Ni 2.6091 2.4270 0.0000
Ni 0.3799 -2.4270 4.7591
I 0.3993 2.4181 8.1118
I 0.3642 0.1093 4.5938
I 4.1035 2.5586 2.3796
I -1.8650 -0.1093 9.3529
I 3.3494 2.4181 6.1657
I 2.6285 -2.4181 3.3526
I 7.8428 0.1093 0.1654
I 1.8744 -2.5586 7.1387
I 5.6137 -0.1093 4.9245
I 5.5786 -2.4181 1.4065
```

Calculated values
* theoretical density: 5.21 Mg/m³
* calculated total energy: -2.546 eV per atom
* Fermi-level density of states: 10.8 states/eV/cell

=====

A plane-wave DFT calculation with GGA-PBE was carried out for a relaxed CuNiI4 crystal.

Structure (extended XYZ):
```
6
Lattice="7.1329 0.0000 0.0000 0.0000 3.8609 0.0000 -0.5922 0.0000 7.2671" Properties=species:S:1:pos:R:3 pbc="T T T"
Cu 0.0000 0.0000 0.0000
Ni 3.5664 1.9305 0.0000
I 1.1788 1.9305 1.4692
I 2.0085 0.0000 5.6594
I 4.5322 0.0000 1.6077
I 5.3619 1.9305 5.7979
```

Calculated values
* theoretical density: 5.23 Mg/m³
* calculated total energy: -2.734 eV per atom
* Fermi-level density of states: 6.4 states/eV/cell

=====

A plane-wave DFT calculation with GGA-PBE was carried out for a relaxed Cu2NiI4 crystal.

Structure (extended XYZ):
```
7
Lattice="5.9951 0.0000 0.0000 0.0000 5.9951 0.0000 0.0000 0.0000 5.9268" Properties=species:S:1:pos:R:3 pbc="T T T"
Cu 0.0000 2.9975 0.0000
Cu 2.9975 0.0000 0.0000
Ni 0.0000 0.0000 2.9634
I 1.4997 1.4997 4.4067
I 1.4997 4.4954 1.5201
I 4.4954 1.4997 1.5201
I 4.4954 4.4954 4.4067
```

Calculated values
* theoretical density: 5.41 Mg/m³
* excess energy over the best structure of this formula in the dataset: 0.0 kJ per mole of atoms
* Fermi-level density of states: 6.0 states/eV/cell

=====

A plane-wave DFT calculation with GGA-PBE was carried out for a relaxed Cu2NiI crystal.

Structure (extended XYZ):
```
8
Lattice="-3.5477 3.5477 2.6038 3.5477 -3.5477 2.6038 3.5477 3.5477 -2.6038" Properties=species:S:1:pos:R:3 pbc="T T T"
Cu 5.3216 1.5854 -0.6509
Cu 1.5854 1.7739 0.6509
Cu -1.7739 1.9623 1.9528
Cu 1.9623 1.7739 3.2547
Ni 0.0000 0.0000 0.0000
Ni 0.0000 3.5477 1.3019
I 3.5477 0.0000 1.3019
I 0.0000 0.0000 2.6038
```

Calculated values
* theoretical density: 7.92 Mg/m³
* excess energy over the best structure of this formula in the dataset: 0.0 kJ per mole of atoms
* Fermi-level density of states: 6.9 states/eV/cell

=====

A plane-wave DFT calculation with GGA-PBE was carried out for a relaxed CuNi3I crystal.

Structure (extended XYZ):
```
5
Lattice="4.4061 0.0000 0.0000 0.0000 4.4061 0.0000 0.0000 0.0000 4.4061" Properties=species:S:1:pos:R:3 pbc="T T T"
Cu 0.0000 0.0000 0.0000
Ni 0.0000 0.0000 2.2031
Ni 0.0000 2.2031 0.0000
Ni 2.2031 0.0000 0.0000
I 2.2031 2.2031 2.2031
```

Calculated values
* theoretical density: 7.12 Mg/m³
* excess energy over the best structure of this formula in the dataset: 0.0 kJ per mole of atoms
* Fermi-level density of states: 8.7 states/eV/cell

=====

A plane-wave DFT calculation with GGA-PBE was carried out for a relaxed Cu3Ni5I12 crystal.

Structure (extended XYZ):
```
80
Lattice="-8.5068 8.5068 8.5068 8.5068 -8.5068 8.5068 8.5068 8.5068 -8.5068" Properties=species:S:1:pos:R:3 pbc="T T T"
Cu 4.2534 2.1267 0.0000
Cu 8.5068 4.2534 -2.1267
Cu 2.1267 0.0000 4.2534
Cu 10.6335 0.0000 4.2534
Cu 0.0000 4.2534 2.1267
Cu 4.2534 -2.1267 8.5068
Cu 4.2534 10.6335 0.0000
Cu 8.5068 4.2534 6.3801
Cu -2.1267 8.5068 4.2534
Cu 6.3801 8.5068 4.2534
Cu 0.0000 4.2534 10.6335
Cu 4.2534 6.3801 8.5068
Ni 0.0000 0.0000 0.0000
Ni 4.2534 4.2534 -4.2534
Ni 4.2534 -4.2534 4.2534
Ni 8.5068 0.0000 0.0000
Ni 12.7603 2.1267 0.0000
Ni 8.5068 -4.2534 6.3801
Ni 6.3801 8.5068 -4.2534
Ni 6.3801 0.0000 4.2534
Ni 4.2534 6.3801 0.0000
Ni 8.5068 4.2534 2.1267
Ni -4.2534 4.2534 4.2534
Ni 0.0000 8.5068 0.0000
Ni 0.0000 0.0000 8.5068
Ni 4.2534 4.2534 4.2534
Ni 0.0000 4.2534 6.3801
Ni 4.2534 2.1267 8.5068
Ni 2.1267 8.5068 4.2534
Ni 2.1267 0.0000 12.7603
Ni 0.0000 12.7603 2.1267
Ni -4.2534 6.3801 8.5068
I 2.6321 -0.0843 0.1500
I 10.1282 4.4034 -4.3377
I 11.1389 0.0843 0.1500
I 10.1282 -4.1035 4.3377
I 8.4226 -0.1500 2.6321
I 12.8445 -1.6213 4.1035
I 0.1500 2.6321 -0.0843
I 12.6103 4.1691 -1.6213
I 4.4034 4.3377 -1.6213
I 8.3569 2.6321 0.0843
I -0.0843 0.1500 2.6321
I 4.3377 -1.6213 4.4034
I 8.4226 8.3569 -2.6321
I 4.3377 1.6213 4.1035
I 4.4034 -4.3377 10.1282
I 8.3569 -2.6321 8.4226
I 4.1035 4.3377 1.6213
I 8.6568 5.8748 0.0843
I 4.3377 10.1282 -4.1035
I 8.4226 0.1500 5.8748
I 2.6321 8.4226 -0.1500
I 10.1282 4.1035 4.1691
I 1.6213 4.1035 4.3377
I 2.6321 0.0843 8.3569
I 5.8748 8.4226 0.1500
I 6.8855 4.4034 4.1691
I -1.6213 4.4034 4.3377
I 5.8748 0.0843 8.6568
I 0.0843 8.3569 2.6321
I 4.1691 -1.6213 12.6103
I -0.1500 2.6321 8.4226
I 4.4034 4.1691 6.8855
I 0.1500 11.1389 0.0843
I 4.1035 12.8445 -1.6213
I 4.1691 6.8855 4.4034
I 0.0843 0.1500 11.1389
I 4.1691 10.1282 4.1035
I 8.5911 8.3569 5.8748
I 0.1500 5.8748 8.4226
I 4.1035 4.1691 10.1282
I -4.1035 4.3377 10.1282
I 8.3569 5.8748 8.5911
I -4.3377 10.1282 4.4034
I 0.0843 8.6568 5.8748
I -1.6213 12.6103 4.1691
I -2.6321 8.4226 8.3569
I -1.6213 4.1035 12.8445
I 5.8748 8.5911 8.3569
```

Calculated values
* theoretical density: 5.41 Mg/m³
* calculated total energy: -2.899 eV per atom
* Fermi-level density of states: 83.0 states/eV/cell

=====

A plane-wave DFT calculation with GGA-PBE was carried out for a relaxed CuNiI2 crystal.

Structure (extended XYZ):
```
4
Lattice="0.0000 3.5661 3.5661 3.5661 0.0000 3.5661 3.5661 3.5661 0.0000" Properties=species:S:1:pos:R:3 pbc="T T T"
Cu 0.0000 0.0000 0.0000
Ni 3.5661 3.5661 3.5661
I 1.7831 1.7831 1.7831
I 5.3492 5.3492 5.3492
```

Calculated values
* theoretical density: 6.88 Mg/m³
* excess energy over the best structure of this formula in the dataset: 66.5 kJ per mole of atoms
* Fermi-level density of states: 8.2 states/eV/cell

=====

A plane-wave DFT calculation with GGA-PBE was carried out for a relaxed Cu2NiI6 crystal.

Structure (extended XYZ):
```
18
Lattice="7.2718 0.0000 0.0000 0.0000 6.8814 0.0000 -4.8638 0.0000 12.0786" Properties=species:S:1:pos:R:3 pbc="T T T"
Cu 0.1431 0.4054 2.9119
Cu -2.2888 3.0353 8.9512
Cu 4.6968 3.8461 3.1274
Cu 2.2650 6.4760 9.1667
Ni 3.6359 0.0000 0.0000
Ni 1.2040 3.4407 6.0393
I -0.2142 4.7676 3.6006
I -2.6461 5.5545 9.6399
I 1.4219 1.1172 0.7464
I -1.0100 2.3235 6.7857
I 1.7402 1.3125 4.7096
I -0.6917 2.1282 10.7489
I 3.0997 4.7532 1.3297
I 0.6678 5.5689 7.3690
I 3.4180 4.5579 5.2929
I 0.9862 5.7641 11.3322
I 5.0541 1.3269 2.4387
I 2.6223 2.1138 8.4781
```

Calculated values
* theoretical density: 5.20 Mg/m³
* excess energy over the best structure of this formula in the dataset: 0.0 kJ per mole of atoms
* Fermi-level density of states: 25.3 states/eV/cell

=====

A plane-wave DFT calculation with GGA-PBE was carried out for a relaxed CuNi2I crystal.

Structure (extended XYZ):
```
8
Lattice="-1.9312 1.9312 8.5172 1.9312 -1.9312 8.5172 1.9312 1.9312 -8.5172" Properties=species:S:1:pos:R:3 pbc="T T T"
Cu 0.0000 0.0000 0.0000
Cu 0.0000 1.9312 4.2586
Ni 2.8968 0.9109 -2.1293
Ni 0.9109 0.9656 2.1293
Ni -0.9656 1.0202 6.3879
Ni 1.0202 0.9656 10.6465
I 1.9312 0.0000 4.2586
I 0.0000 0.0000 8.5172
```

Calculated values
* theoretical density: 8.05 Mg/m³
* excess energy over the best structure of this formula in the dataset: 2.5 kJ per mole of atoms
* Fermi-level density of states: 3.0 states/eV/cell

=====

A plane-wave DFT calculation with GGA-PBE was carried out for a relaxed Cu2NiI5 crystal.

Structure (extended XYZ):
```
8
Lattice="5.9366 -4.2264 0.0000 5.9366 4.2264 0.0000 -3.7849 0.0000 5.8448" Properties=species:S:1:pos:R:3 pbc="T T T"
Cu 5.9366 2.8702 0.0000
Cu 5.9366 -2.8702 0.0000
Ni 0.3527 0.0000 4.0541
I -1.2209 0.0000 1.9423
I 2.2146 0.0000 0.1357
I 2.3138 0.0000 5.7473
I 6.5550 1.7026 3.8247
I 6.5550 -1.7026 3.8247
```

Calculated values
* theoretical density: 4.64 Mg/m³
* calculated total energy: -2.774 eV per atom
* Fermi-level density of states: 4.8 states/eV/cell

=====

A plane-wave DFT calculation with GGA-PBE was carried out for a relaxed Cu3NiI9 crystal.

Structure (extended XYZ):
```
26
Lattice="10.3763 -4.5242 0.0000 10.3763 4.5242 0.0000 -8.3431 0.0000 10.3298" Properties=species:S:1:pos:R:3 pbc="T T T"
Cu 6.2047 4.1362 5.1649
Cu 3.5867 0.9052 5.7962
Cu 7.7583 -0.9052 0.6313
Cu 10.1480 0.8035 4.1982
Cu 5.9765 -0.8035 9.3631
Cu 10.3763 -4.1362 0.0000
Ni -0.4764 2.1826 7.5254
Ni 3.6951 -2.1826 2.3605
I -2.4952 0.4834 7.0685
I 1.0616 1.1410 5.5930
I 4.9485 2.7806 6.8868
I 1.6764 -0.4834 1.9037
I 8.5635 3.0606 4.4729
I 0.6399 0.3024 9.0766
I 8.7313 1.2607 2.0407
I 5.2332 -1.1410 0.4281
I 4.8114 -0.3024 3.9117
I 12.9983 0.7007 0.5928
I 12.6072 1.3050 4.3629
I 4.5598 -1.2607 7.2056
I 8.8267 -0.7007 5.7577
I 9.1200 -2.7806 1.7219
I 15.9871 0.5671 2.9150
I 8.4356 -1.3050 9.5278
I 4.3920 -3.0606 9.6377
I 11.8155 -0.5671 8.0799
```

Calculated values
* theoretical density: 4.76 Mg/m³
* calculated total energy: -2.501 eV per atom
* Fermi-level density of states: 7.9 states/eV/cell

=====

A plane-wave DFT calculation with GGA-PBE was carried out for a relaxed Cu2NiI6 crystal.

Structure (extended XYZ):
```
18
Lattice="6.9390 -6.3296 0.0000 6.9390 6.3296 0.0000 -2.4111 0.0000 7.0481" Properties=species:S:1:pos:R:3 pbc="T T T"
Cu 2.1045 1.2062 2.0020
Cu 0.8989 -1.2062 5.5260
Cu 10.5681 1.2062 1.5221
Cu 9.3625 -1.2062 5.0462
Ni 5.1307 0.9375 5.2861
Ni 6.3363 -0.9375 1.7620
I -0.4779 0.6598 6.5226
I 3.0447 2.6396 5.4809
I 0.7277 -0.6598 2.9985
I 4.6374 1.0558 2.6680
I 7.2167 2.6396 5.0913
I 3.4318 -1.0558 6.1921
I 8.0351 1.0558 0.8560
I 4.2503 -2.6396 1.9569
I 6.8296 -1.0558 4.3801
I 10.7392 0.6598 4.0496
I 8.4222 -2.6396 1.5672
I 11.9448 -0.6598 0.5255
```

Calculated values
* theoretical density: 5.08 Mg/m³
* excess energy over the best structure of this formula in the dataset: 2.0 kJ per mole of atoms
* Fermi-level density of states: 18.5 states/eV/cell

=====

A plane-wave DFT calculation with GGA-PBE was carried out for a relaxed Cu5Ni3I12 crystal.

Structure (extended XYZ):
```
80
Lattice="-8.5867 8.5867 8.5867 8.5867 -8.5867 8.5867 8.5867 8.5867 -8.5867" Properties=species:S:1:pos:R:3 pbc="T T T"
Cu 0.0000 0.0000 0.0000
Cu 4.2933 4.2933 -4.2933
Cu 4.2933 -4.2933 4.2933
Cu 8.5867 0.0000 0.0000
Cu 12.8800 2.1467 0.0000
Cu 8.5867 -4.2933 6.4400
Cu 6.4400 8.5867 -4.2933
Cu 6.4400 0.0000 4.2933
Cu 4.2933 6.4400 0.0000
Cu 8.5867 4.2933 2.1467
Cu -4.2933 4.2933 4.2933
Cu 0.0000 8.5867 0.0000
Cu 0.0000 0.0000 8.5867
Cu 4.2933 4.2933 4.2933
Cu 0.0000 4.2933 6.4400
Cu 4.2933 2.1467 8.5867
Cu 2.1467 8.5867 4.2933
Cu 2.1467 0.0000 12.8800
Cu 0.0000 12.8800 2.1467
Cu -4.2933 6.4400 8.5867
Ni 4.2933 2.1467 0.0000
Ni 8.5867 4.2933 -2.1467
Ni 2.1467 0.0000 4.2933
Ni 10.7333 0.0000 4.2933
Ni 0.0000 4.2933 2.1467
Ni 4.2933 -2.1467 8.5867
Ni 4.2933 10.7333 0.0000
Ni 8.5867 4.2933 6.4400
Ni -2.1467 8.5867 4.2933
Ni 6.4400 8.5867 4.2933
Ni 0.0000 4.2933 10.7333
Ni 4.2933 6.4400 8.5867
I 6.9877 -3.9955 4.1646
I 14.4789 -0.1288 0.2978
I 6.9877 4.5912 -4.1646
I 5.8923 0.1288 0.2978
I 8.7154 8.2888 -5.8923
I 4.1646 -1.5990 3.9955
I 3.9955 4.1646 -1.5990
I 8.8845 2.6944 -0.1288
I 4.5912 -4.1646 6.9877
I 8.2888 -5.8923 8.7154
I 4.1646 6.9877 -3.9955
I 8.7154 0.2978 2.6944
I 8.7154 -0.2978 5.8923
I 12.7512 1.5990 3.9955
I 4.5912 4.1646 1.5990
I 8.2888 5.8923 -0.1288
I 0.2978 5.8923 0.1288
I 12.5821 4.4221 1.5990
I 0.1288 0.2978 5.8923
I 4.1646 1.5990 4.5912
I -1.5990 3.9955 4.1646
I 5.8923 -0.1288 8.2888
I 5.8923 8.7154 -0.2978
I 6.9877 3.9955 4.4221
I 1.5990 4.5912 4.1646
I 2.6944 -0.1288 8.8845
I 2.6944 8.7154 0.2978
I 10.1856 4.5912 4.4221
I 4.4221 6.9877 3.9955
I 8.4579 8.2888 2.6944
I -3.9955 4.1646 6.9877
I 8.2888 2.6944 8.4579
I 0.2978 2.6944 8.7154
I 3.9955 4.4221 6.9877
I -4.1646 6.9877 4.5912
I -0.1288 8.8845 2.6944
I -0.1288 8.2888 5.8923
I 4.4221 1.5990 12.5821
I 0.2978 14.4789 -0.1288
I 3.9955 12.7512 1.5990
I -0.2978 5.8923 8.7154
I 4.5912 4.4221 10.1856
I 4.4221 10.1856 4.5912
I -0.1288 0.2978 14.4789
I 2.6944 8.4579 8.2888
I 1.5990 3.9955 12.7512
I -5.8923 8.7154 8.2888
I 1.5990 12.5821 4.4221
```

Calculated values
* theoretical density: 5.29 Mg/m³
* calculated total energy: -2.714 eV per atom
* Fermi-level density of states: 80.6 states/eV/cell

=====

A plane-wave DFT calculation with GGA-PBE was carried out for a relaxed CuNiI6 crystal.

Structure (extended XYZ):
```
8
Lattice="3.6477 2.1060 5.6619 -3.6477 2.1060 5.6619 0.0000 -4.2120 5.6619" Properties=species:S:1:pos:R:3 pbc="T T T"
Cu 0.0000 0.0000 0.0000
Ni 0.0000 0.0000 8.4928
I -2.2348 0.1940 7.0730
I -1.2854 -1.8384 9.9126
I 0.9494 -2.0324 7.0730
I -0.9494 2.0324 9.9126
I 1.2854 1.8384 7.0730
I 2.2348 -0.1940 9.9126
```

Calculated values
* theoretical density: 5.62 Mg/m³
* excess energy over the best structure of this formula in the dataset: 8.6 kJ per mole of atoms
* Fermi-level density of states: 6.2 states/eV/cell

=====

Number 1: V 45.0 A^3/atom. Number 2: V 16.0 A^3/atom. Number 3: V 34.4 A^3/atom. Number 4: V 33.4 A^3/atom. Number 5: V 30.4 A^3/atom. Number 6: V 16.4 A^3/atom. Number 7: V 17.1 A^3/atom. Number 8: V 30.8 A^3/atom. Number 9: V 22.7 A^3/atom. Number 10: V 33.6 A^3/atom. Number 11: V 15.9 A^3/atom. Number 12: V 36.7 A^3/atom. Number 13: V 37.3 A^3/atom. Number 14: V 34.4 A^3/atom. Number 15: V 31.7 A^3/atom. Number 16: V 32.6 A^3/atom.